1.
Entry from Alexandria: a crystal of Sr3MnN relaxed with PBEsol (meta-GGA SCAN).

- energy (eV per atom) = -19.10
- crystal system = cubic

a = 5.218 Å, b = 5.218 Å, c = 5.218 Å
α = 90.00°, β = 90.00°, γ = 90.00°
Space group Pm-3m (No. 221)
Unique sites:
Sr1 0.000 0.000 0.500 [3 per cell]
Mn1 0.500 0.500 0.500 [1 per cell]
N1 0.000 0.000 0.000 [1 per cell]

---

2.
Entry from Alexandria: a crystal of FeCoRh relaxed with PBEsol (meta-GGA SCAN).

- energy (eV per atom) = -23.25
- crystal system = tetragonal
- ΔH_f (0 K) (eV per atom) = -0.183

a = 2.862 Å, b = 2.862 Å, c = 8.816 Å
α = 90.00°, β = 90.00°, γ = 90.00°
Space group I4mm (No. 107)
Unique sites:
Fe1 0.000 0.000 0.000 [2 per cell]
Co1 0.000 0.000 0.644 [2 per cell]
Rh1 0.000 0.000 0.326 [2 per cell]

---

3.
Entry from Alexandria: a crystal of TaMo6 relaxed with PBEsol (meta-GGA SCAN).

- energy (eV per atom) = -39.49
- energy relative to the lowest polymorph listed for this composition (meV per atom) = 4
- crystal system = monoclinic
- ΔH_f (0 K) (eV per atom) = -0.079

a = 9.431 Å, b = 4.450 Å, c = 5.217 Å
α = 90.00°, β = 95.66°, γ = 90.00°
Space group C2/m (No. 12)
Unique sites:
Ta1 0.000 0.000 0.000 [2 per cell]
Mo1 0.072 0.500 0.289 [4 per cell]
Mo2 0.143 0.000 0.568 [4 per cell]
Mo3 0.213 0.500 0.858 [4 per cell]

---

4.
Entry from Alexandria: a crystal of NbZnFe3 relaxed with PBEsol (meta-GGA SCAN).

- energy (eV per atom) = -19.21
- crystal system = cubic
- ΔH_f (0 K) (eV per atom) = 0.998

a = 4.259 Å, b = 4.259 Å, c = 4.259 Å
α = 90.00°, β = 90.00°, γ = 90.00°
Space group Pm-3m (No. 221)
Unique sites:
Nb1 0.000 0.000 0.000 [1 per cell]
Zn1 0.500 0.500 0.500 [1 per cell]
Fe1 0.000 0.500 0.500 [3 per cell]